The following is a DFT calculation (PBE) of a geometry-optimized K2InCo structure.

Lattice parameters (Å, degrees): 7.2029 5.9517 4.1535 89.39 56.00 114.21
Atoms (fractional coordinates):
Co 0.0000 0.5000 0.5000
K 0.5000 0.0000 0.5000
K 0.0000 0.0000 0.0000
In 0.5000 0.5000 0.0000

Properties
DFT total energy in eV/atom: -2.29
ΔE_f in eV/atom: 0.724
Symmetry: No. 12
Crystal system: monoclinic
Total magnetic moment in μB per formula unit: 1.57

The following is a DFT calculation (PBE) of a geometry-optimized ZnNiAu2 structure.

Lattice parameters (Å, degrees): 3.8460 3.8460 9.5659 78.40 78.40 90.00
Atoms (fractional coordinates):
Au 0.6232 0.1250 0.2500
Au 0.8750 0.8732 0.7500
Au 0.3750 0.3768 0.7500
Au 0.1268 0.6250 0.2500
Zn 0.7500 0.2500 0.5000
Zn 0.0000 0.0000 0.0000
Ni 0.5000 0.5000 0.0000
Ni 0.2500 0.7500 0.5000

Properties
DFT total energy in eV/atom: -3.26
ΔE_f in eV/atom: 0.146
Symmetry: No. 122
Crystal system: tetragonal
Total magnetic moment in μB per formula unit: 0.00

The following is a DFT calculation (PBE) of a geometry-optimized Rb2U3Se8 structure.

Lattice parameters (Å, degrees): 7.2466 8.4382 9.3229 116.91 105.58 90.00
Atoms (fractional coordinates):
U 0.0000 0.7439 0.0000
U 0.0000 0.2561 0.0000
U 0.5000 0.0000 0.0000
Se 0.0442 0.3986 0.7972
Se 0.8986 0.0938 0.1877
Se 0.6156 0.6783 0.8139
Se 0.1014 0.9062 0.8123
Se 0.9558 0.6014 0.2028
Se 0.3844 0.8644 0.1861
Se 0.6156 0.1356 0.8139
Se 0.3844 0.3217 0.1861
Rb 0.6668 0.7337 0.4673
Rb 0.3332 0.2663 0.5327

Properties
DFT total energy in eV/atom: -6.07
Symmetry: No. 12
E above lowest polymorph in meV/atom: 0
E_form (uncorrected) in kJ/mol of atoms: -112.8
Crystal system: monoclinic
Total magnetic moment in μB per formula unit: 4.00

The following is a DFT calculation (PBE) of a geometry-optimized Rb2Li2ThSe4 structure.

Lattice parameters (Å, degrees): 4.3758 8.0921 8.2201 109.09 105.44 90.00
Atoms (fractional coordinates):
Rb 0.8605 0.4338 0.7210
Rb 0.1395 0.5662 0.2790
Se 0.8052 0.8369 0.6104
Se 0.4827 0.2309 0.9654
Se 0.5173 0.7691 0.0346
Se 0.1948 0.1631 0.3896
Li 0.6816 0.9875 0.3633
Li 0.3184 0.0125 0.6367
Th 0.0000 0.0000 0.0000

Properties
DFT total energy in eV/atom: -4.50
Symmetry: No. 12
E_form (uncorrected) in kJ/mol of atoms: -143.2
Crystal system: monoclinic
Total magnetic moment in μB per formula unit: 0.00

The following is a DFT calculation (PBE) of a geometry-optimized DySc2Zn2 structure.

Lattice parameters (Å, degrees): 3.4373 4.9385 12.7599 90.00 97.74 90.00
Atoms (fractional coordinates):
Zn 0.6406 0.7500 0.2810
Zn 0.4549 0.7500 0.9096
Zn 0.5451 0.2500 0.0904
Zn 0.3594 0.2500 0.7190
Sc 0.7663 0.2500 0.5321
Sc 0.0466 0.7500 0.0932
Sc 0.2337 0.7500 0.4679
Sc 0.9534 0.2500 0.9068
Dy 0.8545 0.7500 0.7101
Dy 0.1455 0.2500 0.2899

Properties
DFT total energy in eV/atom: -4.24
ΔE_f in eV/atom: -0.273
Symmetry: No. 11
Crystal system: monoclinic
Total magnetic moment in μB per formula unit: 0.00

The following is a DFT calculation (PBE) of a geometry-optimized PmY4Er6 structure.

Lattice parameters (Å, degrees): 9.6836 9.6836 9.6836 57.11 140.49 140.49
Atoms (fractional coordinates):
Er 0.0000 0.8079 0.4503
Er 0.3576 0.5497 0.5497
Er 0.5000 0.5000 0.0000
Er 0.0000 0.4503 0.8079
Er 0.6424 0.1921 0.1921
Er 0.5000 0.0000 0.5000
Y 0.0000 0.0128 0.6384
Y 0.3744 0.3616 0.3616
Y 0.0000 0.6384 0.0128
Y 0.6256 0.9872 0.9872
Pm 0.0000 0.0000 0.0000

Properties
DFT total energy in eV/atom: -4.96
ΔE_f in eV/atom: 0.310
Symmetry: No. 121
E above lowest polymorph in meV/atom: 0
Crystal system: tetragonal
Total magnetic moment in μB per formula unit: 0.00

The following is a DFT calculation (PBE) of a geometry-optimized Th8BTe4P3 structure.

Lattice parameters (Å, degrees): 8.3580 8.8364 8.3582 118.23 120.00 90.00
Atoms (fractional coordinates):
P 0.5000 0.5000 0.0000
P 0.5000 0.5000 0.5000
P 0.0000 0.5000 0.5000
Te 0.5000 0.0000 0.0000
Te 0.0000 0.0000 0.0000
Te 0.5000 0.0000 0.5000
Te 0.0000 0.0000 0.5000
Th 0.7730 0.2992 0.5460
Th 0.7731 0.2992 0.0262
Th 0.2643 0.2928 0.5285
Th 0.2269 0.7008 0.9738
Th 0.7357 0.7072 0.4715
Th 0.2531 0.2992 0.0262
Th 0.2270 0.7008 0.4540
Th 0.7469 0.7008 0.9738
B 0.0000 0.5000 0.0000

Properties
DFT total energy in eV/atom: -7.14
Symmetry: No. 166
E_form (uncorrected) in kJ/mol of atoms: -117.2
Crystal system: trigonal
Total magnetic moment in μB per formula unit: 0.00

The following is a DFT calculation (PBE) of a geometry-optimized SrRuN2O structure.

Lattice parameters (Å, degrees): 4.3507 4.3507 4.3767 90.00 90.00 90.00
Atoms (fractional coordinates):
N 0.5000 0.0000 0.0000
N 0.0000 0.5000 0.0000
O 0.0000 0.0000 0.5000
Ru 0.5000 0.5000 0.5000
Sr 0.0000 0.0000 0.0000

Properties
DFT total energy in eV/atom: -4.25
Symmetry: No. 123
E_form (uncorrected) in kJ/mol of atoms: 218.6
Crystal system: tetragonal
Total magnetic moment in μB per formula unit: 1.34

The following is a DFT calculation (PBE) of a geometry-optimized Hg6As2I2Cl structure.

Lattice parameters (Å, degrees): 7.7215 11.7949 14.3406 153.92 98.52 63.65
Atoms (fractional coordinates):
As 0.8334 0.3343 0.2485
As 0.1666 0.6657 0.7515
Hg 0.4605 0.5346 0.8029
Hg 0.9804 0.4623 0.6856
Hg 0.7038 0.4085 0.5046
Hg 0.0196 0.5377 0.3144
Hg 0.5395 0.4654 0.1971
Hg 0.2962 0.5915 0.4954
I 0.7619 0.5642 0.9420
I 0.2381 0.4358 0.0580
Cl 0.5000 0.0000 0.5000

Properties
DFT total energy in eV/atom: -1.54
Symmetry: No. 2
E_form (uncorrected) in kJ/mol of atoms: -7.8
Crystal system: triclinic
Total magnetic moment in μB per formula unit: 0.00

The following is a DFT calculation (PBE) of a geometry-optimized PrP2Rh4 structure.

Lattice parameters (Å, degrees): 3.7301 7.7022 7.7022 90.00 90.00 90.00
Atoms (fractional coordinates):
Rh 0.0000 0.9236 0.6720
Rh 0.0000 0.0764 0.3280
Rh 0.0000 0.6720 0.9236
Rh 0.5000 0.1720 0.5764
Rh 0.5000 0.8280 0.4236
Rh 0.5000 0.4236 0.8280
Rh 0.5000 0.5764 0.1720
Rh 0.0000 0.3280 0.0764
P 0.0000 0.2296 0.7704
P 0.5000 0.7296 0.7296
P 0.0000 0.7704 0.2296
P 0.5000 0.2704 0.2704
Pr 0.0000 0.5000 0.5000
Pr 0.5000 0.0000 0.0000

Properties
DFT total energy in eV/atom: -7.29
ΔE_f in eV/atom: -0.863
Symmetry: No. 136
Crystal system: tetragonal
Total magnetic moment in μB per formula unit: 0.00

The following is a DFT calculation (PBE) of a geometry-optimized HfCo2Sb structure.

Lattice parameters (Å, degrees): 3.5185 4.1973 4.1973 90.00 90.00 90.00
Atoms (fractional coordinates):
Hf 0.5000 0.0000 0.0000
Sb 0.5000 0.5000 0.5000
Co 0.0000 0.0000 0.5000
Co 0.0000 0.5000 0.0000

Properties
DFT total energy in eV/atom: -7.31
Symmetry: No. 123
E_form (uncorrected) in kJ/mol of atoms: -23.1
Crystal system: tetragonal
Total magnetic moment in μB per formula unit: 1.13

The following is a DFT calculation (PBE) of a geometry-optimized LiCuReSb2 structure.

Lattice parameters (Å, degrees): 5.0757 4.8993 5.0757 90.00 90.00 90.00
Atoms (fractional coordinates):
Cu 0.5000 0.5000 0.5000
Re 0.0000 0.0000 0.0000
Li 0.0000 0.5000 0.0000
Sb 0.0000 0.0000 0.5000
Sb 0.5000 0.0000 0.0000

Properties
DFT total energy in eV/atom: -4.58
Symmetry: No. 123
E_form (uncorrected) in kJ/mol of atoms: 73.2
Crystal system: tetragonal
Total magnetic moment in μB per formula unit: 0.00

The following is a DFT calculation (PBE) of a geometry-optimized VRh structure.

Lattice parameters (Å, degrees): 7.4515 7.4515 7.4515 90.00 90.00 90.00
Atoms (fractional coordinates):
Rh 0.3212 0.3212 0.3212
Rh 0.8212 0.8212 0.8212
Rh 0.1788 0.8212 0.1788
Rh 0.6788 0.3212 0.6788
Rh 0.8212 0.1788 0.1788
Rh 0.3212 0.6788 0.6788
Rh 0.6788 0.6788 0.3212
Rh 0.1788 0.1788 0.8212
V 0.1340 0.1340 0.1340
V 0.8660 0.8660 0.1340
V 0.6340 0.3660 0.3660
V 0.8660 0.1340 0.8660
V 0.3660 0.3660 0.6340
V 0.1340 0.8660 0.8660
V 0.6340 0.6340 0.6340
V 0.3660 0.6340 0.3660

Properties
DFT total energy in eV/atom: -7.20
ΔE_f in eV/atom: 1.037
Symmetry: No. 217
Crystal system: cubic
Total magnetic moment in μB per formula unit: 0.00

The following is a DFT calculation (PBE) of a geometry-optimized Er6Sb3Os structure.

Lattice parameters (Å, degrees): 6.7128 8.1509 10.4663 90.00 90.87 90.00
Atoms (fractional coordinates):
Er 0.1593 0.0479 0.7673
Er 0.6386 0.1999 0.5628
Er 0.8450 0.6593 0.5633
Er 0.6593 0.4521 0.2673
Er 0.8407 0.9521 0.2327
Er 0.8614 0.6999 0.9372
Er 0.6550 0.1593 0.9367
Er 0.3407 0.5479 0.7327
Er 0.1550 0.3407 0.4367
Er 0.3614 0.8001 0.4372
Er 0.1386 0.3001 0.0628
Er 0.3450 0.8407 0.0633
Sb 0.0663 0.6174 0.2354
Sb 0.5663 0.8826 0.7354
Sb 0.0000 0.0000 0.5000
Sb 0.9337 0.3826 0.7646
Sb 0.5000 0.5000 0.0000
Sb 0.4337 0.1174 0.2646
Os 0.0000 0.0000 0.0000
Os 0.5000 0.5000 0.5000

Properties
DFT total energy in eV/atom: -5.73
Symmetry: No. 14
E_form (uncorrected) in kJ/mol of atoms: -61.4
Crystal system: monoclinic
Total magnetic moment in μB per formula unit: 0.00

The following is a DFT calculation (PBE) of a geometry-optimized Na2CdSiIr structure.

Lattice parameters (Å, degrees): 5.5934 4.4800 5.5934 90.00 90.00 90.00
Atoms (fractional coordinates):
Cd 0.5000 0.5000 0.5000
Si 0.0000 0.5000 0.0000
Na 0.0000 0.0000 0.5000
Na 0.5000 0.0000 0.0000
Ir 0.0000 0.0000 0.0000

Properties
DFT total energy in eV/atom: -3.34
Symmetry: No. 123
E_form (uncorrected) in kJ/mol of atoms: 21.9
Crystal system: tetragonal
Total magnetic moment in μB per formula unit: 0.00

The following is a DFT calculation (PBE) of a geometry-optimized Rb2SiCCl structure.

Lattice parameters (Å, degrees): 6.4317 6.4317 3.8620 90.00 90.00 90.00
Atoms (fractional coordinates):
Cl 0.0000 0.0000 0.0000
C 0.0000 0.0000 0.5000
Rb 0.5000 0.0000 0.0000
Rb 0.0000 0.5000 0.0000
Si 0.5000 0.5000 0.5000

Properties
DFT total energy in eV/atom: -2.61
Symmetry: No. 123
E_form (uncorrected) in kJ/mol of atoms: 104.1
Crystal system: tetragonal
Total magnetic moment in μB per formula unit: 1.35

The following is a DFT calculation (PBE) of a geometry-optimized TlCd2PbAu structure.

Lattice parameters (Å, degrees): 5.5588 5.5588 5.2574 90.00 90.00 90.00
Atoms (fractional coordinates):
Pb 0.5000 0.5000 0.5000
Cd 0.5000 0.0000 0.0000
Cd 0.0000 0.5000 0.0000
Tl 0.0000 0.0000 0.0000
Au 0.0000 0.0000 0.5000

Properties
DFT total energy in eV/atom: -1.77
ΔE_f in eV/atom: 0.471
Symmetry: No. 123
Crystal system: tetragonal
Total magnetic moment in μB per formula unit: 0.00

The following is a DFT calculation (PBE) of a geometry-optimized ZrNbAg structure.

Lattice parameters (Å, degrees): 2.9263 2.9263 7.1361 101.83 101.83 90.00
Atoms (fractional coordinates):
Nb 0.6654 0.6654 0.3308
Zr 0.3312 0.3312 0.6624
Ag 0.0034 0.0034 0.0068

Properties
DFT total energy in eV/atom: -7.10
ΔE_f in eV/atom: 0.059
Symmetry: No. 107
E above lowest polymorph in meV/atom: 138
Crystal system: tetragonal
Total magnetic moment in μB per formula unit: 0.00

The following is a DFT calculation (PBE) of a geometry-optimized Li4MgAg7 structure.

Lattice parameters (Å, degrees): 5.0455 8.8454 5.8350 80.46 64.38 73.43
Atoms (fractional coordinates):
Mg 0.0000 0.0000 0.0000
Ag 0.5000 0.0000 0.0000
Ag 0.0458 0.6260 0.2824
Ag 0.2108 0.0805 0.4979
Ag 0.7892 0.9195 0.5021
Ag 0.6505 0.4654 0.2336
Ag 0.3495 0.5346 0.7664
Ag 0.9542 0.3740 0.7176
Li 0.2668 0.3159 0.1505
Li 0.7332 0.6841 0.8495
Li 0.4104 0.7723 0.4069
Li 0.5896 0.2277 0.5931

Properties
DFT total energy in eV/atom: -2.48
ΔE_f in eV/atom: -0.047
Symmetry: No. 12
E above lowest polymorph in meV/atom: 142
Crystal system: monoclinic
Total magnetic moment in μB per formula unit: 0.00

The following is a DFT calculation (PBE) of a geometry-optimized PmDyPd structure.

Lattice parameters (Å, degrees): 3.8996 5.0360 9.0254 90.01 115.54 90.00
Atoms (fractional coordinates):
Dy 0.7127 0.7500 0.9625
Dy 0.2873 0.2500 0.0375
Pd 0.9619 0.7506 0.7111
Pd 0.0381 0.2494 0.2889
Pm 0.6060 0.7500 0.3564
Pm 0.3940 0.2500 0.6436

Properties
DFT total energy in eV/atom: -5.38
ΔE_f in eV/atom: -0.527
Symmetry: No. 2
E above lowest polymorph in meV/atom: 51
Crystal system: triclinic
Total magnetic moment in μB per formula unit: 0.00